Entry 1:
DFT (GGA-PBE) results for an optimized crystal structure of Ba2BAu.

Energy = -3.0553 eV per atom
V = 293 Å³ per cell
Energy of formation from the pure elements = 0.39 eV/atom
Symmetry = I-42d (122)

a = 7.2522 Å, b = 7.2522 Å, c = 7.2522 Å
α = 110.76°, β = 110.76°, γ = 106.93°
Positions (direct):
Ba 0.0870 0.6250 0.9620
Ba 0.3750 0.3370 0.4620
Ba 0.6630 0.1250 0.0380
Ba 0.8750 0.9130 0.5380
B 0.0000 0.0000 0.0000
B 0.7500 0.2500 0.5000
Au 0.2500 0.7500 0.5000
Au 0.5000 0.5000 0.0000



Entry 2:
DFT (GGA-PBE) results for an optimized crystal structure of CrCoIr2.

Energy = -8.3805 eV per atom
V = 55 Å³ per cell
Energy of formation from the pure elements = 0.23 eV/atom
Symmetry = Pmmm (47)

a = 2.7789 Å, b = 4.3572 Å, c = 4.5346 Å
α = 90.00°, β = 90.00°, γ = 90.00°
Positions (direct):
Cr 0.0000 0.0000 0.0000
Co 0.5000 0.0000 0.5000
Ir 0.0000 0.5000 0.5000
Ir 0.5000 0.5000 0.0000



Entry 3:
DFT (GGA-PBE) results for an optimized crystal structure of CeNi12Sn6.

Energy = -5.3101 eV per atom
V = 313 Å³ per cell
Energy of formation from the pure elements = -0.08 eV/atom
Symmetry = R-3m (166)

a = 6.9835 Å, b = 6.9835 Å, c = 6.9835 Å
α = 102.38°, β = 102.38°, γ = 102.38°
Positions (direct):
Ce 0.0000 0.0000 0.0000
Ni 0.0931 0.3293 0.3293
Ni 0.1132 0.5000 0.8868
Ni 0.1132 0.8868 0.5000
Ni 0.3293 0.0931 0.3293
Ni 0.3293 0.3293 0.0931
Ni 0.5000 0.1132 0.8868
Ni 0.5000 0.8868 0.1132
Ni 0.6707 0.6707 0.9069
Ni 0.6707 0.9069 0.6707
Ni 0.8868 0.1132 0.5000
Ni 0.8868 0.5000 0.1132
Ni 0.9069 0.6707 0.6707
Sn 0.2681 0.2681 0.6799
Sn 0.2681 0.6799 0.2681
Sn 0.3201 0.7319 0.7319
Sn 0.6799 0.2681 0.2681
Sn 0.7319 0.3201 0.7319
Sn 0.7319 0.7319 0.3201



Entry 4:
DFT (GGA-PBE) results for an optimized crystal structure of ScBe2Cr.

Energy = -5.6109 eV per atom
V = 50 Å³ per cell
Energy of formation from the pure elements = 0.24 eV/atom
Energy above the lowest structure with this stoichiometry = 0.197 eV/atom
Symmetry = Cmmm (65)

a = 4.3633 Å, b = 4.3633 Å, c = 2.6744 Å
α = 90.00°, β = 90.00°, γ = 103.47°
Positions (direct):
Sc 0.0000 0.0000 0.0000
Be 0.0000 0.5000 0.5000
Be 0.5000 0.0000 0.5000
Cr 0.5000 0.5000 0.0000



Entry 5:
DFT (GGA-PBE) results for an optimized crystal structure of SrLi2NdSb2.

Formation energy without anion corrections = -0.89 eV per atom
Energy = -3.9765 eV per atom
V = 159 Å³ per cell
Symmetry = P-3m1 (164)

a = 4.7187 Å, b = 4.7187 Å, c = 8.2288 Å
α = 90.00°, β = 90.00°, γ = 120.00°
Positions (direct):
Sr 0.0000 0.0000 0.0000
Li 0.3333 0.6667 0.7313
Li 0.6667 0.3333 0.2687
Nd 0.0000 0.0000 0.5000
Sb 0.3333 0.6667 0.2631
Sb 0.6667 0.3333 0.7369



Entry 6:
DFT (GGA-PBE) results for an optimized crystal structure of Pr7Cd2Pb2.

Energy = -3.9159 eV per atom
V = 387 Å³ per cell
Energy of formation from the pure elements = -0.03 eV/atom
Symmetry = Cmmm (65)

a = 7.0759 Å, b = 7.0759 Å, c = 8.2636 Å
α = 90.00°, β = 90.00°, γ = 110.79°
Positions (direct):
Pr 0.0000 0.0000 0.0000
Pr 0.0000 0.5000 0.2916
Pr 0.0000 0.5000 0.7084
Pr 0.5000 0.0000 0.2916
Pr 0.5000 0.0000 0.7084
Pr 0.5000 0.5000 0.2413
Pr 0.5000 0.5000 0.7587
Cd 0.2805 0.7195 0.0000
Cd 0.7195 0.2805 0.0000
Pb 0.1885 0.1885 0.5000
Pb 0.8115 0.8115 0.5000



Density, record by record: 5.46, 14.98, 8.27, 3.86, 5.12, 6.98 g cm⁻³